No. 1
Crystalline Zr2BiAs at its relaxed geometry, computed with PBE-GGA.

Calculated values
**E**: -7.1083 eV/atom
**Space-group type**: Pbcm (57)

abc: 6.6932 6.9789 8.2808
angles: 90.00 90.00 90.00
Sites, in units of the cell vectors:
Zr 0.5000 0.7498 0.1720
Zr 0.0000 0.7502 0.1720
Zr 0.0000 0.2498 0.4022
Zr 0.0000 0.2498 0.8280
Zr 0.0000 0.7502 0.5978
Zr 0.5000 0.7498 0.5978
Zr 0.5000 0.2502 0.8280
Zr 0.5000 0.2502 0.4022
Bi 0.2498 0.3969 0.1146
Bi 0.2502 0.8969 0.8854
Bi 0.7498 0.1031 0.1146
Bi 0.7502 0.6031 0.8854
As 0.7498 0.0715 0.6181
As 0.2498 0.4285 0.6181
As 0.2502 0.9285 0.3819
As 0.7502 0.5715 0.3819

=====

No. 2
Crystalline NaCuGe2 at its relaxed geometry, computed with PBE-GGA.

Calculated values
**Excess energy over the best structure of this formula in the dataset**: 0 meV/atom
**Space-group type**: Cmcm (63)

abc: 4.2159 5.6842 6.6951
angles: 90.00 90.00 111.77
Sites, in units of the cell vectors:
Na 0.9335 0.8671 0.2500
Na 0.0665 0.1329 0.7500
Cu 0.2087 0.4175 0.2500
Cu 0.7913 0.5825 0.7500
Ge 0.3572 0.7144 0.5544
Ge 0.6428 0.2856 0.4456
Ge 0.6428 0.2856 0.0544
Ge 0.3572 0.7144 0.9456

=====

No. 3
Crystalline CaSnHg2 at its relaxed geometry, computed with PBE-GGA.

Calculated values
**E**: -1.9805 eV/atom
**Space-group type**: P4/mmm (123)

abc: 3.7629 3.7629 7.4190
angles: 90.00 90.00 90.00
Sites, in units of the cell vectors:
Ca 0.5000 0.5000 0.0000
Hg 0.0000 0.0000 0.7470
Hg 0.0000 0.0000 0.2530
Sn 0.5000 0.5000 0.5000

=====

No. 4
Crystalline Pr4SnRh2 at its relaxed geometry, computed with PBE-GGA.

Calculated values
**E**: -5.9570 eV/atom
**Space-group type**: R-3m (166)

abc: 4.8444 4.8444 10.3688
angles: 76.49 76.49 60.00
Sites, in units of the cell vectors:
Pr 0.3854 0.3854 0.8438
Pr 0.2032 0.2032 0.3905
Pr 0.7968 0.7968 0.6095
Pr 0.6146 0.6146 0.1562
Sn 0.0000 0.0000 0.0000
Rh 0.0987 0.0987 0.7040
Rh 0.9013 0.9013 0.2960

=====

Question: What is the formula in the second record?
Answer: NaCuGe2